Below is a geometry-optimized RbNaSCl2 structure, with properties calculated at the GGA-PBE level.

abc: 5.486 5.486 5.264
angles: 90.00 90.00 90.00
Site moments in Bohr magnetons follow the coordinates.
Positions (direct):
Cl (0.000, 0.500, 0.000)  0.17
Cl (0.500, 0.000, 0.000)  0.17
S (0.000, 0.000, 0.500)  0.92
Na (0.000, 0.000, 0.000)  0.00
Rb (0.500, 0.500, 0.500)  0.00

Summary:
VASP energy (eV/atom): -2.8494
Formation energy without anion corrections (kcal/mol of atoms): -19.09
Offset from the most stable computed form (kJ/mol of atoms): 0.00
N(E_F) (states/eV/cell): 2.93
Spin magnetization (μB/atom): 0.403
Crystal system: tetragonal
Symmetry: P4/mmm, No. 123